DFT (GGA-PBE) results for an optimized crystal structure of LiHI3.

a = 4.3867 Å, b = 5.7912 Å, c = 14.5650 Å
α = 84.51°, β = 86.91°, γ = 87.95°
Closest atoms and distances in Å follow each position.
Space group P1 (No. 1)
Symmetry-distinct sites (fractional):
Li: 0.0000 0.0000 0.0000 (multiplicity 1)  4 I 2.82-2.95
Li: 0.4814 0.5254 0.9092 (multiplicity 1)  4 I 2.81-2.96
H: 0.0480 0.7666 0.6748 (multiplicity 1)  1 I 1.64
H: 0.4446 0.7576 0.2328 (multiplicity 1)  1 I 1.64
I: 0.1620 0.5101 0.7199 (multiplicity 1)  1 H 1.64
I: 0.3277 0.0142 0.1886 (multiplicity 1)  1 H 1.64
I: 0.5165 0.0291 0.8760 (multiplicity 1)  4 Li 2.82-2.96
I: 0.7423 0.0059 0.4729 (multiplicity 1)  2 I 2.95
I: 0.7479 0.5148 0.4350 (multiplicity 1)  2 I 2.95
I: 0.9659 0.4961 0.0329 (multiplicity 1)  4 Li 2.81-2.95

energy above the lowest structure with this stoichiometry = 0.000 eV per atom
D(E_F) = 3.6 states/eV per cell

***

DFT (GGA-PBE) results for an optimized crystal structure of KSr2InCu.

a = 6.1378 Å, b = 6.1378 Å, c = 5.1160 Å
α = 90.00°, β = 90.00°, γ = 90.00°
Closest atoms and distances in Å follow each position.
Space group P4/mmm (No. 123)
Symmetry-distinct sites (fractional):
K: 0.0000 0.0000 0.0000 (multiplicity 1)  8 Sr 4.00, 4 In 4.34
Sr: 0.0000 0.5000 0.5000 (multiplicity 2)  2 Cu 3.07
In: 0.5000 0.5000 0.0000 (multiplicity 1)  2 Cu 2.56
Cu: 0.5000 0.5000 0.5000 (multiplicity 1)  2 In 2.56

D(E_F) = 5.1 states/eV per cell
energy = -2.288 eV per atom

***

DFT (GGA-PBE) results for an optimized crystal structure of Re2PdCl.

a = 6.2003 Å, b = 6.2003 Å, c = 6.2003 Å
α = 90.00°, β = 90.00°, γ = 90.00°
Closest atoms and distances in Å follow each position.
Space group Fm-3m (No. 225)
Symmetry-distinct sites (fractional):
Re: 0.2500 0.2500 0.2500 (multiplicity 8)  4 Cl 2.68, 4 Pd 2.68
Pd: 0.0000 0.0000 0.0000 (multiplicity 4)  8 Re 2.68
Cl: 0.0000 0.0000 0.5000 (multiplicity 4)  8 Re 2.68

energy above the lowest structure with this stoichiometry = 0.085 eV per atom
ΔE_f (raw) = 1.108 eV per atom
D(E_F) = 22.1 states/eV per cell

***

DFT (GGA-PBE) results for an optimized crystal structure of PmDy2Ho5.

a = 6.6982 Å, b = 8.4237 Å, c = 9.5757 Å
α = 75.92°, β = 84.16°, γ = 77.64°
Closest atoms and distances in Å follow each position.
Space group P-1 (No. 2)
Symmetry-distinct sites (fractional):
Pm: 0.0121 0.2386 0.1987 (multiplicity 2)  9 Ho 3.51-3.63, 3 Dy 3.52-3.62
Dy: 0.2619 0.9901 0.9470 (multiplicity 2)  4 Dy 3.49-3.63, 6 Ho 3.51-3.63, 2 Pm 3.52-3.62
Dy: 0.3856 0.8624 0.3230 (multiplicity 2)  9 Ho 3.49-3.63, 2 Dy 3.50-3.63, 1 Pm 3.62
Ho: 0.1162 0.6354 0.1773 (multiplicity 2)  3 Dy 3.49-3.63, 7 Ho 3.49-3.62, 2 Pm 3.51-3.63
Ho: 0.1365 0.1158 0.5727 (multiplicity 2)  6 Ho 3.49-3.62, 4 Dy 3.50-3.63, 2 Pm 3.51-3.61
Ho: 0.2401 0.5094 0.5519 (multiplicity 2)  9 Ho 3.49-3.62, 2 Dy 3.50-3.60, 1 Pm 3.63
Ho: 0.3650 0.3863 0.9265 (multiplicity 2)  7 Ho 3.49-3.64, 3 Dy 3.51-3.62, 2 Pm 3.52-3.63
Ho: 0.4905 0.2605 0.3031 (multiplicity 2)  7 Ho 3.50-3.64, 2 Pm 3.51, 3 Dy 3.53-3.62

energy above the lowest structure with this stoichiometry = 0.000 eV per atom
D(E_F) = 27.8 states/eV per cell

***

DFT (GGA-PBE) results for an optimized crystal structure of Cs2Rb8Se.

a = 10.6125 Å, b = 10.6125 Å, c = 9.9550 Å
α = 90.00°, β = 90.00°, γ = 120.00°
Closest atoms and distances in Å follow each position.
Space group P-3m1 (No. 164)
Symmetry-distinct sites (fractional):
Cs: 0.3333 0.6667 0.4314 (multiplicity 2)  4 Rb 4.33-4.69
Rb: 0.1355 0.2709 0.7285 (multiplicity 6)  1 Se 3.37
Rb: 0.3333 0.6667 0.9966 (multiplicity 2)  1 Cs 4.33, 3 Rb 4.51
Se: 0.0000 0.0000 0.5000 (multiplicity 1)  6 Rb 3.37

ΔE_f (raw) = -0.196 eV per atom
D(E_F) = 7.7 states/eV per cell

***

DFT (GGA-PBE) results for an optimized crystal structure of Ti3CuPt4.

a = 9.1293 Å, b = 5.5679 Å, c = 4.7820 Å
α = 90.00°, β = 90.00°, γ = 90.00°
Closest atoms and distances in Å follow each position.
Space group Pmma (No. 51)
Symmetry-distinct sites (fractional):
Ti: 0.0000 0.0000 0.0000 (multiplicity 2)  8 Pt 2.75-2.77, 2 Cu 2.78, 2 Ti 2.93
Ti: 0.2500 0.0000 0.3834 (multiplicity 2)  8 Pt 2.73-2.81, 4 Ti 2.79-2.93
Ti: 0.2500 0.5000 0.3536 (multiplicity 2)  8 Pt 2.68-2.85, 2 Ti 2.79, 2 Cu 2.84
Cu: 0.0000 0.5000 0.0000 (multiplicity 2)  8 Pt 2.74-2.76, 4 Ti 2.78-2.84
Pt: 0.0000 0.2519 0.5000 (multiplicity 4)  6 Ti 2.74-2.77, 2 Cu 2.76, 4 Pt 2.76-2.90
Pt: 0.2500 0.2517 0.8738 (multiplicity 4)  6 Ti 2.68-2.85, 2 Cu 2.74, 4 Pt 2.77-2.90

D(E_F) = 11.0 states/eV per cell
energy = -7.303 eV per atom

***

DFT (GGA-PBE) results for an optimized crystal structure of TaRhSCl2.

a = 4.6241 Å, b = 4.6241 Å, c = 4.7736 Å
α = 90.00°, β = 90.00°, γ = 90.00°
Closest atoms and distances in Å follow each position.
Space group P4/mmm (No. 123)
Symmetry-distinct sites (fractional):
Ta: 0.0000 0.0000 0.0000 (multiplicity 1)  4 S 3.27, 8 Cl 3.32
Rh: 0.5000 0.5000 0.5000 (multiplicity 1)  4 Cl 2.31, 2 S 2.39
S: 0.5000 0.5000 0.0000 (multiplicity 1)  2 Rh 2.39
Cl: 0.0000 0.5000 0.5000 (multiplicity 2)  2 Rh 2.31

energy above the lowest structure with this stoichiometry = 0.450 eV per atom
ΔE_f (raw) = 0.709 eV per atom
D(E_F) = 4.8 states/eV per cell

***

DFT (GGA-PBE) results for an optimized crystal structure of BaCu3Ag4Br12.

a = 10.3273 Å, b = 10.3273 Å, c = 10.3273 Å
α = 90.00°, β = 90.00°, γ = 90.00°
Closest atoms and distances in Å follow each position.
Space group Im-3 (No. 204)
Symmetry-distinct sites (fractional):
Ba: 0.0000 0.0000 0.0000 (multiplicity 2)  12 Br 3.73
Cu: 0.0000 0.0000 0.5000 (multiplicity 6)  4 Br 2.49
Ag: 0.2500 0.2500 0.2500 (multiplicity 8)  6 Br 2.83
Br: 0.0000 0.1633 0.3226 (multiplicity 24)  1 Cu 2.49

ΔE_f (raw) = -0.528 eV per atom
D(E_F) = 23.2 states/eV per cell

***

DFT (GGA-PBE) results for an optimized crystal structure of AcGdErPu.

a = 8.1399 Å, b = 8.1399 Å, c = 8.1399 Å
α = 90.00°, β = 90.00°, γ = 90.00°
Closest atoms and distances in Å follow each position.
Space group F-43m (No. 216)
Symmetry-distinct sites (fractional):
Ac: 0.0000 0.0000 0.0000 (multiplicity 4)  4 Gd 3.52, 4 Pu 3.52
Gd: 0.2500 0.2500 0.2500 (multiplicity 4)  4 Er 3.52, 4 Ac 3.52
Er: 0.0000 0.0000 0.5000 (multiplicity 4)  4 Gd 3.52, 4 Pu 3.52
Pu: 0.2500 0.2500 0.7500 (multiplicity 4)  4 Ac 3.52, 4 Er 3.52

D(E_F) = 59.5 states/eV per cell
energy = -9.005 eV per atom

***

DFT (GGA-PBE) results for an optimized crystal structure of LaPr2Er.

a = 3.6694 Å, b = 3.6694 Å, c = 36.0192 Å
α = 90.00°, β = 90.00°, γ = 120.00°
Closest atoms and distances in Å follow each position.
Space group R3m (No. 160, hexagonal axes)
Symmetry-distinct sites (fractional):
La: 0.0000 0.0000 0.0000 (multiplicity 3)  6 La 3.67, 6 Pr 3.74-3.77
Pr: 0.0000 0.0000 0.2466 (multiplicity 3)  3 Er 3.59, 6 Pr 3.67, 3 La 3.77
Pr: 0.0000 0.0000 0.4191 (multiplicity 3)  3 Er 3.59, 6 Pr 3.67, 3 La 3.74-3.75
Er: 0.0000 0.0000 0.8329 (multiplicity 3)  6 Pr 3.59, 6 Er 3.67

energy above the lowest structure with this stoichiometry = 0.009 eV per atom
D(E_F) = 17.9 states/eV per cell

***

DFT (GGA-PBE) results for an optimized crystal structure of Li3TcH8.

a = 4.6613 Å, b = 4.6613 Å, c = 7.9377 Å
α = 90.00°, β = 90.00°, γ = 90.00°
Closest atoms and distances in Å follow each position.
Space group I4/mmm (No. 139)
Symmetry-distinct sites (fractional):
Li: 0.0000 0.0000 0.0000 (multiplicity 2)  8 H 2.03
Li: 0.0000 0.5000 0.2500 (multiplicity 4)  8 H 1.99
Tc: 0.0000 0.0000 0.5000 (multiplicity 2)  8 H 1.72
H: 0.2238 0.2238 0.3878 (multiplicity 16)  1 Tc 1.72, 1 H 1.78

energy above the lowest structure with this stoichiometry = 0.000 eV per atom

***

DFT (GGA-PBE) results for an optimized crystal structure of Ba2Fe2Ru.

a = 3.3098 Å, b = 3.3098 Å, c = 20.4948 Å
α = 90.00°, β = 90.00°, γ = 90.00°
Closest atoms and distances in Å follow each position.
Space group I4/mmm (No. 139)
Symmetry-distinct sites (fractional):
Ba: 0.0000 0.0000 0.1053 (multiplicity 4)  4 Ru 3.18, 4 Ba 3.31, 4 Fe 3.40
Fe: 0.0000 0.5000 0.2500 (multiplicity 4)  4 Fe 2.34
Ru: 0.0000 0.0000 0.5000 (multiplicity 2)  8 Ba 3.18, 4 Ru 3.31

energy above the lowest structure with this stoichiometry = 0.000 eV per atom
D(E_F) = 23.4 states/eV per cell

***

DFT (GGA-PBE) results for an optimized crystal structure of LaCd2Ir.

a = 4.8448 Å, b = 4.8448 Å, c = 14.4486 Å
α = 90.00°, β = 90.00°, γ = 120.00°
Closest atoms and distances in Å follow each position.
Space group R3m (No. 160, hexagonal axes)
Symmetry-distinct sites (fractional):
La: 0.0000 0.0000 0.0000 (multiplicity 3)  1 Ir 2.78
Cd: 0.0000 0.0000 0.5341 (multiplicity 3)  3 Ir 2.80, 3 Cd 3.05
Cd: 0.0000 0.0000 0.7831 (multiplicity 3)  3 Ir 3.01, 3 Cd 3.05, 4 La 3.13-3.26
Ir: 0.0000 0.0000 0.1926 (multiplicity 3)  1 La 2.78, 6 Cd 2.80-3.01

D(E_F) = 8.3 states/eV per cell
energy = -4.173 eV per atom

***

DFT (GGA-PBE) results for an optimized crystal structure of La2PmNd5Tl.

a = 5.6538 Å, b = 20.2808 Å, c = 10.9701 Å
α = 90.00°, β = 90.00°, γ = 90.00°
Closest atoms and distances in Å follow each position.
Space group Cmc2_1 (No. 36)
Symmetry-distinct sites (fractional):
La: 0.0000 0.1178 0.0000 (multiplicity 4)  8 Nd 3.46-3.74, 1 Pm 3.69
La: 0.0000 0.1182 0.4034 (multiplicity 4)  8 Nd 3.46-3.74, 1 Pm 3.69
Pm: 0.0000 0.2021 0.7019 (multiplicity 4)  8 Nd 3.56-3.83, 2 Tl 3.59, 2 La 3.69
Nd: 0.0000 0.0131 0.7017 (multiplicity 4)  2 Tl 3.25, 2 La 3.46
Nd: 0.0000 0.2893 0.0050 (multiplicity 4)  1 Tl 3.22, 2 Nd 3.45, 3 La 3.48-3.57, 2 Pm 3.56
Nd: 0.0000 0.2898 0.3989 (multiplicity 4)  1 Tl 3.22, 2 Nd 3.45, 3 La 3.48-3.57, 2 Pm 3.56
Nd: 0.0000 0.3839 0.7017 (multiplicity 4)  4 La 3.59, 6 Nd 3.61-3.86, 1 Pm 3.69
Nd: 0.0000 0.4999 0.4514 (multiplicity 4)  2 Tl 3.32-3.33, 2 Nd 3.61-3.62
Tl: 0.0000 0.4074 0.2011 (multiplicity 4)  6 Nd 3.22-3.33, 2 Pm 3.59

D(E_F) = 50.9 states/eV per cell
energy = -4.540 eV per atom

***

DFT (GGA-PBE) results for an optimized crystal structure of Sr3P6Pd20.

a = 12.3985 Å, b = 12.3985 Å, c = 12.3985 Å
α = 90.00°, β = 90.00°, γ = 90.00°
Closest atoms and distances in Å follow each position.
Space group Fm-3m (No. 225)
Symmetry-distinct sites (fractional):
Sr: 0.0000 0.0000 0.0000 (multiplicity 4)  12 Pd 3.04, 6 P 3.27
Sr: 0.2500 0.2500 0.2500 (multiplicity 8)  4 Pd 2.96
P: 0.0000 0.0000 0.2635 (multiplicity 24)  8 Pd 2.42-2.50
Pd: 0.0000 0.1734 0.1734 (multiplicity 48)  2 P 2.42, 1 Pd 2.68
Pd: 0.1123 0.1123 0.3877 (multiplicity 32)  3 P 2.50, 3 Pd 2.78

D(E_F) = 43.1 states/eV per cell
energy = -5.484 eV per atom

***

DFT (GGA-PBE) results for an optimized crystal structure of Mg2SnGe.

a = 4.5069 Å, b = 4.5069 Å, c = 4.2643 Å
α = 90.00°, β = 90.00°, γ = 90.00°
Closest atoms and distances in Å follow each position.
Space group P4/mmm (No. 123)
Symmetry-distinct sites (fractional):
Mg: 0.0000 0.5000 0.0000 (multiplicity 2)  4 Ge 3.10, 4 Sn 3.10, 4 Mg 3.19
Sn: 0.0000 0.0000 0.5000 (multiplicity 1)  8 Mg 3.10, 4 Ge 3.19
Ge: 0.5000 0.5000 0.5000 (multiplicity 1)  8 Mg 3.10, 4 Sn 3.19

D(E_F) = 0.9 states/eV per cell
energy = -3.043 eV per atom

***

DFT (GGA-PBE) results for an optimized crystal structure of AgBI2O.

a = 6.3270 Å, b = 6.3270 Å, c = 2.8465 Å
α = 90.00°, β = 90.00°, γ = 90.00°
Closest atoms and distances in Å follow each position.
Space group P4/mmm (No. 123)
Symmetry-distinct sites (fractional):
Ag: 0.0000 0.0000 0.0000 (multiplicity 1)  2 Ag 2.85
B: 0.5000 0.5000 0.5000 (multiplicity 1)  2 O 1.42
I: 0.0000 0.5000 0.5000 (multiplicity 2)  2 I 2.85, 2 B 3.16
O: 0.5000 0.5000 0.0000 (multiplicity 1)  2 B 1.42

energy above the lowest structure with this stoichiometry = 0.000 eV per atom
ΔE_f (raw) = 0.032 eV per atom
D(E_F) = 1.8 states/eV per cell

***

DFT (GGA-PBE) results for an optimized crystal structure of DyMgGa3.

a = 4.0712 Å, b = 24.3693 Å, c = 4.1852 Å
α = 90.00°, β = 90.00°, γ = 90.00°
Closest atoms and distances in Å follow each position.
Space group Cmcm (No. 63)
Symmetry-distinct sites (fractional):
Dy: 0.0000 0.0757 0.2500 (multiplicity 4)  12 Ga 3.16-3.29
Mg: 0.0000 0.2061 0.7500 (multiplicity 4)  7 Ga 2.72-2.98
Ga: 0.0000 0.3179 0.7500 (multiplicity 4)  2 Ga 2.51, 1 Mg 2.72
Ga: 0.0000 0.3749 0.2500 (multiplicity 4)  3 Ga 2.44-2.51
Ga: 0.0000 0.4749 0.2500 (multiplicity 4)  3 Ga 2.42-2.44

D(E_F) = 8.9 states/eV per cell
energy = -3.494 eV per atom

***

DFT (GGA-PBE) results for an optimized crystal structure of Ca2CoRu.

a = 3.6077 Å, b = 4.8502 Å, c = 10.0049 Å
α = 90.00°, β = 90.00°, γ = 90.00°
Closest atoms and distances in Å follow each position.
Space group Imm2 (No. 44)
Symmetry-distinct sites (fractional):
Ca: 0.0000 0.0000 0.0000 (multiplicity 2)  4 Ru 3.10, 4 Ca 3.25-3.36, 4 Co 3.25-3.36
Ca: 0.0000 0.5000 0.2168 (multiplicity 2)  4 Co 3.09, 4 Ru 3.23-3.38, 4 Ca 3.25-3.36
Co: 0.0000 0.5000 0.7831 (multiplicity 2)  2 Ru 2.33
Ru: 0.0000 0.0000 0.4307 (multiplicity 2)  2 Co 2.33

D(E_F) = 5.8 states/eV per cell
energy = -4.857 eV per atom

***

DFT (GGA-PBE) results for an optimized crystal structure of Ca2Br.

a = 5.9696 Å, b = 19.0869 Å, c = 3.8198 Å
α = 90.00°, β = 90.00°, γ = 90.00°
Closest atoms and distances in Å follow each position.
Space group Cmcm (No. 63)
Symmetry-distinct sites (fractional):
Ca: 0.0000 0.0898 0.2500 (multiplicity 4)  4 Br 3.55, 6 Ca 3.82-3.92
Ca: 0.0000 0.2822 0.7500 (multiplicity 4)  2 Br 3.00
Br: 0.0000 0.4035 0.2500 (multiplicity 4)  2 Ca 3.00

energy above the lowest structure with this stoichiometry = 0.141 eV per atom
ΔE_f (raw) = -0.755 eV per atom
D(E_F) = 6.9 states/eV per cell